The following is a DFT calculation (PBE) of a relaxed V9Pt11Rh4 crystal.

a = 3.898 Å, b = 10.041 Å, c = 10.041 Å
α = 113.57°, β = 90.00°, γ = 90.00°
Fractional positions:
V1 0.500 0.632 0.124
V2 0.500 0.944 0.792
V3 0.500 0.792 0.944
V4 0.500 0.876 0.368
V5 0.500 0.368 0.876
V6 0.500 0.124 0.632
V7 0.500 0.056 0.208
V8 0.500 0.208 0.056
V9 0.500 0.500 0.500
Pt1 0.000 0.750 0.750
Pt2 0.000 0.161 0.839
Pt3 0.000 0.322 0.678
Pt4 0.000 0.000 0.000
Pt5 0.000 0.414 0.076
Pt6 0.000 0.678 0.322
Pt7 0.000 0.839 0.161
Pt8 0.000 0.250 0.250
Pt9 0.000 0.924 0.586
Pt10 0.000 0.076 0.414
Pt11 0.000 0.586 0.924
Rh1 0.500 0.461 0.263
Rh2 0.500 0.737 0.539
Rh3 0.500 0.263 0.461
Rh4 0.500 0.539 0.737

## Properties
Final energy ... -185.73 eV/cell
SG ... Cmmm
Energy of formation from the pure elements ... -7.50 kcal/mol of atoms